! DyGaGe2, relaxed, DFT PBE; values from VASP
&SYSTEM
  ibrav = 0, nat = 8, ntyp = 3
/
ATOMIC_SPECIES
Ga 69.72 Ga.upf
Dy 162.50 Dy.upf
Ge 72.64 Ge.upf
ATOMIC_POSITIONS crystal
Ga 0.500 0.500 0.000
Ga 0.000 0.000 0.000
Dy 0.000 0.500 0.261
Dy 0.500 0.000 0.739
Ge 0.500 0.500 0.500
Ge 0.000 0.500 0.792
Ge 0.000 0.000 0.500
Ge 0.500 0.000 0.208
CELL_PARAMETERS angstrom
4.112 0.000 0.000
0.000 4.112 0.000
0.000 0.000 9.408
! Symmetry = P4/nmm, No. 129
! Formation energy from the elements = -434 meV/atom
! Uncorrected energy = -37.20 eV per cell
! Energy relative to the lowest polymorph listed for this composition = 23 meV/atom